[1]
ReP4 | PBE-GGA | optimized geometry Values from VASP.

The structure in Quantum ESPRESSO input format:
```
&SYSTEM
  ibrav = 0, nat = 10, ntyp = 2
/
ATOMIC_SPECIES
Re 186.21 Re.upf
P 30.97 P.upf
CELL_PARAMETERS angstrom
4.668 0.000 0.000
0.000 4.701 0.000
-1.111 0.000 7.277
ATOMIC_POSITIONS angstrom
Re 0.000 0.000 0.000
Re -0.555 2.351 3.638
P 0.159 0.915 5.439
P 0.714 1.435 1.801
P 1.669 3.067 0.630
P 1.113 3.985 4.268
P 2.444 0.716 3.008
P 1.889 1.635 6.647
P 2.843 3.266 5.476
P 3.398 3.786 1.838
```

Values from the calculation:
**DOS at the Fermi energy**: 3.6 states/eV/f.u.
**Total energy**: -7.005 eV/atom

***

[2]
InBr2Cl | PBE-GGA | optimized geometry Values from VASP.

The structure in Quantum ESPRESSO input format:
```
&SYSTEM
  ibrav = 0, nat = 8, ntyp = 3
/
ATOMIC_SPECIES
In 114.82 In.upf
Br 79.90 Br.upf
Cl 35.45 Cl.upf
CELL_PARAMETERS angstrom
6.797 0.000 0.000
-2.164 7.056 0.000
-1.446 -3.609 6.513
ATOMIC_POSITIONS angstrom
In 0.000 0.000 0.000
In 3.399 0.000 0.000
Br -1.911 1.665 5.355
Br 1.701 -0.172 2.120
Br 1.487 3.619 4.393
Br 5.099 1.783 1.157
Cl 0.253 -1.858 5.650
Cl 2.935 5.305 0.862
```

Values from the calculation:
**DOS at the Fermi energy**: 0.0 states/eV/f.u.
**Total energy**: -2.854 eV/atom

***

[3]
LiLaPm2 | PBE-GGA | optimized geometry Values from VASP.

The structure in Quantum ESPRESSO input format:
```
&SYSTEM
  ibrav = 0, nat = 4, ntyp = 3
/
ATOMIC_SPECIES
Li 6.94 Li.upf
La 138.91 La.upf
Pm 145.00 Pm.upf
CELL_PARAMETERS angstrom
1.797 1.037 11.628
-1.797 1.037 11.628
0.000 -2.075 11.628
ATOMIC_POSITIONS angstrom
Li 0.000 0.000 0.000
La 0.000 0.000 5.822
Pm 0.000 0.000 14.357
Pm 0.000 0.000 20.520
```

Values from the calculation:
**DOS at the Fermi energy**: 5.8 states/eV/f.u.
**Total energy**: -3.973 eV/atom

***

[4]
SmTm5Mg6 | PBE-GGA | optimized geometry Values from VASP.

The structure in Quantum ESPRESSO input format:
```
&SYSTEM
  ibrav = 0, nat = 12, ntyp = 3
/
ATOMIC_SPECIES
Sm 150.36 Sm.upf
Tm 168.93 Tm.upf
Mg 24.30 Mg.upf
CELL_PARAMETERS angstrom
2.667 -8.013 0.000
2.667 8.013 0.000
0.000 0.000 7.510
ATOMIC_POSITIONS angstrom
Sm 0.000 0.000 0.000
Tm 0.000 0.000 3.755
Tm 2.667 2.696 0.000
Tm 2.667 2.648 3.755
Tm 2.667 -2.648 3.755
Tm 2.667 -2.696 0.000
Mg 2.667 5.321 1.896
Mg 2.667 5.321 5.614
Mg 2.667 0.000 1.893
Mg 2.667 0.000 5.617
Mg 2.667 -5.321 1.896
Mg 2.667 -5.321 5.614
```

Values from the calculation:
**DOS at the Fermi energy**: 16.2 states/eV/f.u.
**Total energy**: -3.118 eV/atom

***

[5]
La2In2Ag | PBE-GGA | optimized geometry Values from VASP.

The structure in Quantum ESPRESSO input format:
```
&SYSTEM
  ibrav = 0, nat = 10, ntyp = 3
/
ATOMIC_SPECIES
La 138.91 La.upf
In 114.82 In.upf
Ag 107.87 Ag.upf
CELL_PARAMETERS angstrom
5.786 -2.505 0.000
5.786 2.505 0.000
-3.925 0.000 9.846
ATOMIC_POSITIONS angstrom
La -0.495 0.000 3.627
La 1.711 0.000 0.670
La 5.935 0.000 9.176
La 8.141 0.000 6.219
In 2.958 0.000 3.754
In 5.163 0.000 1.414
In 2.483 0.000 8.432
In 4.688 0.000 6.091
Ag -0.007 0.000 6.927
Ag 7.653 0.000 2.919
```

Values from the calculation:
**DOS at the Fermi energy**: 4.4 states/eV/f.u.
**Total energy**: -4.066 eV/atom

***

[6]
Fe3BrN | PBE-GGA | optimized geometry Values from VASP.

The structure in Quantum ESPRESSO input format:
```
&SYSTEM
  ibrav = 0, nat = 5, ntyp = 3
/
ATOMIC_SPECIES
Fe 55.84 Fe.upf
Br 79.90 Br.upf
N 14.01 N.upf
CELL_PARAMETERS angstrom
4.471 0.000 0.000
0.000 4.471 0.000
0.000 0.000 4.471
ATOMIC_POSITIONS angstrom
Fe 0.000 0.000 2.235
Fe 0.000 2.235 0.000
Fe 2.235 0.000 0.000
Br 0.000 0.000 0.000
N 2.235 2.235 2.235
```

Values from the calculation:
**DOS at the Fermi energy**: 2.4 states/eV/f.u.
**Total energy**: -4.986 eV/atom

***

[7]
La4HoEr7 | PBE-GGA | optimized geometry Values from VASP.

The structure in Quantum ESPRESSO input format:
```
&SYSTEM
  ibrav = 0, nat = 12, ntyp = 3
/
ATOMIC_SPECIES
La 138.91 La.upf
Ho 164.93 Ho.upf
Er 167.26 Er.upf
CELL_PARAMETERS angstrom
6.034 -2.956 0.000
6.034 2.956 0.000
-5.607 0.000 11.504
ATOMIC_POSITIONS angstrom
La -0.516 0.000 3.322
La 3.128 0.000 2.586
La 3.334 0.000 8.918
La 6.977 0.000 8.182
Ho 6.034 0.000 0.000
Er 0.000 0.000 0.000
Er -1.577 0.000 7.216
Er -2.601 0.000 10.555
Er 1.555 0.000 5.914
Er 4.907 0.000 5.590
Er 9.062 0.000 0.948
Er 8.038 0.000 4.287
```

Values from the calculation:
**DOS at the Fermi energy**: 20.1 states/eV/f.u.
**Total energy**: -4.410 eV/atom